1.
The following is a DFT calculation (GGA-PBE) of Ho2Al2Ge3 after structural relaxation.

```
Ho2Al2Ge3
1.0
-2.7988 2.0336 2.6338
-5.8303 -2.5774 -4.2058
2.9652 -4.0388 2.6804
Ho Al Ge
2 2 3
Cartesian
-5.7518 -1.3991 -1.4429 Ho
0.0877 -3.1836 2.5513 Ho
-1.5448 -2.1107 -0.0119 Al
-4.1193 -2.4719 1.1202 Al
-2.9152 -1.2887 -2.1029 Ge
-3.7293 -3.7590 -1.0607 Ge
-1.9347 -0.8237 2.1691 Ge
```

Output
Calculated density: 6.43 Mg/m³
Symmetry: C2/m, No. 12
E_form: -0.367 eV per atom
Energy relative to the lowest polymorph listed for this composition: 173 meV per atom

2.
The following is a DFT calculation (GGA-PBE) of Tb6Nd2Ho3Th after structural relaxation.

```
Tb6Nd2Ho3Th
1.0
6.1955 0.0028 0.0158
-3.0939 5.3677 0.0158
-1.0607 -1.8366 11.6434
Ho Tb Nd Th
3 6 2 1
Cartesian
4.1139 -0.0196 5.8375 Ho
1.0205 1.7670 5.8375 Ho
-2.0730 3.5535 5.8375 Ho
2.0373 -0.0058 2.9397 Tb
-0.0353 -0.0611 8.7182 Tb
-1.0232 1.7618 2.9397 Tb
2.0763 3.5950 2.9568 Tb
0.0036 3.5397 8.7352 Tb
3.0641 1.7721 8.7352 Tb
0.0037 3.5788 0.0158 Nd
3.0980 1.7917 0.0158 Nd
0.0000 0.0000 0.0000 Th
```

Output
Calculated density: 8.43 Mg/m³
Symmetry: C2/m, No. 12
E_form: 0.031 eV per atom

3.
The following is a DFT calculation (GGA-PBE) of LiLaPmMn after structural relaxation.

```
LiLaPmMn
1.0
-0.6001 -5.0905 -1.0680
0.1958 -3.5266 3.8650
-4.3558 -2.4924 1.4929
Mn Li La Pm
1 1 1 1
Cartesian
-1.1900 -2.7774 1.0725 Mn
-3.5701 -8.3321 3.2175 Li
-2.3801 -5.5547 2.1450 La
0.0000 0.0000 0.0000 Pm
```

Output
Calculated density: 5.66 Mg/m³
Symmetry: F-43m, No. 216
E_form: 0.169 eV per atom